(1)
Here is a relaxed structure of PmNd4In from Alexandria via LeMat-Bulk. Energies are from PBE.

Values from the calculation:
The density of states at the Fermi level is 11.3 states/eV/f.u. The total energy comes out at -26.98 eV/cell. Its energy relative to the elements is -70 meV per atom.

```
data_PmNd4In
_cell_length_a 4.2195
_cell_length_b 4.2195
_cell_length_c 11.0643
_cell_angle_alpha 90.00
_cell_angle_beta 90.00
_cell_angle_gamma 90.00
_space_group_name_H-M_alt 'P 4/m m m'
_space_group_IT_number 123
_space_group_name_Hall '-P 4 2'
loop_
_atom_site_label
_atom_site_fract_x
_atom_site_fract_y
_atom_site_fract_z
Pm1 0.0000 0.0000 0.0000
Nd1 0.0000 0.0000 0.3519
Nd2 0.5000 0.5000 0.1695
In1 0.5000 0.5000 0.5000
```


(2)
Here is a relaxed structure of Pm3Nd3In2 from Alexandria via LeMat-Bulk. Energies are from PBE.

Values from the calculation:
The density of states at the Fermi level is 9.3 states/eV/f.u. The total energy comes out at -141.17 eV/cell. Its energy relative to the elements is -158 meV per atom.

```
data_Pm3Nd3In2
_cell_length_a 5.3812
_cell_length_b 12.2645
_cell_length_c 15.8968
_cell_angle_alpha 90.00
_cell_angle_beta 90.00
_cell_angle_gamma 90.00
_space_group_name_H-M_alt 'C m c m'
_space_group_IT_number 63
_space_group_name_Hall '-C 2c 2'
loop_
_atom_site_label
_atom_site_fract_x
_atom_site_fract_y
_atom_site_fract_z
Pm1 0.0000 0.0447 0.2500
Pm2 0.0000 0.1410 0.5284
Nd1 0.0000 0.2348 0.7500
Nd2 0.0000 0.4611 0.6064
In1 0.0000 0.2781 0.1422
```


Q: Which energy above the most stable polymorph in this dataset values were calculated for the entries above? A: 0.00 0.93, in eV/f.u..